[1]
# Tb2Al3AgPt4

A relaxed structure of Tb2Al3AgPt4 (PBE, the Alexandria database).

Cell: 4.044 4.044 11.587 Å, 90.00 90.00 90.00°
Atoms (fractional coordinates):
Tb (0.000, 0.500, 0.245)
Tb (0.500, 0.000, 0.755)
Al (0.000, 0.000, 0.000)
Al (0.000, 0.500, 0.626)
Al (0.500, 0.000, 0.374)
Ag (0.500, 0.500, 0.000)
Pt (0.000, 0.000, 0.500)
Pt (0.000, 0.500, 0.837)
Pt (0.500, 0.000, 0.163)
Pt (0.500, 0.500, 0.500)

Formation enthalpy at 0 K (eV per atom): -0.972

***

[2]
# Tb2Al4AgPt3

A relaxed structure of Tb2Al4AgPt3 (PBE, the Alexandria database).

Cell: 4.228 4.228 10.615 Å, 90.00 90.00 90.00°
Atoms (fractional coordinates):
Tb (0.000, 0.500, 0.242)
Tb (0.500, 0.000, 0.758)
Al (0.000, 0.000, 0.000)
Al (0.000, 0.500, 0.635)
Al (0.500, 0.000, 0.365)
Al (0.500, 0.500, 0.000)
Ag (0.000, 0.000, 0.500)
Pt (0.000, 0.500, 0.866)
Pt (0.500, 0.000, 0.134)
Pt (0.500, 0.500, 0.500)

Formation enthalpy at 0 K (eV per atom): -0.948

***

[3]
# Al2AgTePt

A relaxed structure of Al2AgTePt (PBE, the Alexandria database).

Cell: 4.679 4.679 5.833 Å, 90.00 90.00 90.00°
Atoms (fractional coordinates):
Al (0.000, 0.500, 0.000)
Al (0.500, 0.000, 0.000)
Ag (0.000, 0.000, 0.500)
Te (0.500, 0.500, 0.500)
Pt (0.500, 0.500, 0.000)

Uncorrected formation energy (eV per atom): 0.0282
Energy relative to the lowest polymorph listed for this composition (kJ/mol of atoms): 0.0

***

[4]
# Al2AgTePt

A relaxed structure of Al2AgTePt (PBE, the Alexandria database).

Cell: 4.732 4.732 5.215 Å, 90.00 90.00 90.00°
Atoms (fractional coordinates):
Al (0.000, 0.500, 0.000)
Al (0.500, 0.000, 0.000)
Ag (0.000, 0.000, 0.000)
Te (0.500, 0.500, 0.500)
Pt (0.000, 0.000, 0.500)

Uncorrected formation energy (eV per atom): 0.5187
Energy relative to the lowest polymorph listed for this composition (kJ/mol of atoms): 47.3

***

[5]
# TiAlAgPt

A relaxed structure of TiAlAgPt (PBE, the Alexandria database).

Cell: 6.339 6.339 6.339 Å, 90.00 90.00 90.00°
Atoms (fractional coordinates):
Ti (0.000, 0.000, 0.000)
Ti (0.000, 0.500, 0.500)
Ti (0.500, 0.000, 0.500)
Ti (0.500, 0.500, 0.000)
Al (0.000, 0.000, 0.500)
Al (0.000, 0.500, 0.000)
Al (0.500, 0.000, 0.000)
Al (0.500, 0.500, 0.500)
Ag (0.250, 0.250, 0.750)
Ag (0.250, 0.750, 0.250)
Ag (0.750, 0.250, 0.250)
Ag (0.750, 0.750, 0.750)
Pt (0.250, 0.250, 0.250)
Pt (0.250, 0.750, 0.750)
Pt (0.750, 0.250, 0.750)
Pt (0.750, 0.750, 0.250)

Formation enthalpy at 0 K (eV per atom): -0.577

***

[6]
# TmAlAgPt

A relaxed structure of TmAlAgPt (PBE, the Alexandria database).

Cell: 6.665 6.665 6.665 Å, 90.00 90.00 90.00°
Atoms (fractional coordinates):
Tm (0.000, 0.000, 0.000)
Tm (0.000, 0.500, 0.500)
Tm (0.500, 0.000, 0.500)
Tm (0.500, 0.500, 0.000)
Al (0.000, 0.000, 0.500)
Al (0.000, 0.500, 0.000)
Al (0.500, 0.000, 0.000)
Al (0.500, 0.500, 0.500)
Ag (0.250, 0.250, 0.750)
Ag (0.250, 0.750, 0.250)
Ag (0.750, 0.250, 0.250)
Ag (0.750, 0.750, 0.750)
Pt (0.250, 0.250, 0.250)
Pt (0.250, 0.750, 0.750)
Pt (0.750, 0.250, 0.750)
Pt (0.750, 0.750, 0.250)

Formation enthalpy at 0 K (eV per atom): -0.717

***

| no. | calculated volume (Å³ per atom) |
| --- | --- |
| 1 | 18.95 |
| 2 | 18.98 |
| 3 | 25.54 |
| 4 | 23.35 |
| 5 | 15.92 |
| 6 | 18.50 |